DFT (PBE) results for Ce2In after structural relaxation.

a b c (Å): 7.648 7.648 5.443
angles (deg): 90.00 90.00 150.15
Sites, in units of the cell vectors:
Ce 0.098 0.902 0.750
Ce 0.272 0.728 0.250
Ce 0.728 0.272 0.750
Ce 0.902 0.098 0.250
In 0.409 0.591 0.750
In 0.591 0.409 0.250

Results
Symmetry ... Cmcm, No. 63
E_form ... -0.26 eV per atom
V ... 26.4 Å³/atom



DFT (PBE) results for Ce2In after structural relaxation.

a b c (Å): 5.475 5.475 6.686
angles (deg): 90.00 90.00 120.00
Sites, in units of the cell vectors:
Ce 0.000 0.000 0.000
Ce 0.000 0.000 0.500
Ce 0.333 0.667 0.250
Ce 0.667 0.333 0.750
In 0.333 0.667 0.750
In 0.667 0.333 0.250

Results
Symmetry ... P6_3/mmc, No. 194
E_form ... -0.22 eV per atom
V ... 28.9 Å³/atom



DFT (PBE) results for Ce2In after structural relaxation.

a b c (Å): 6.148 6.148 6.148
angles (deg): 60.00 60.00 60.00
Sites, in units of the cell vectors:
Ce 0.000 0.000 0.000
Ce 0.000 0.000 0.500
Ce 0.000 0.500 0.000
Ce 0.500 0.000 0.000
In 0.375 0.375 0.375
In 0.625 0.625 0.625

Results
Symmetry ... Fd-3m, No. 227
E_form ... 0.02 eV per atom
V ... 27.4 Å³/atom



DFT (PBE) results for CeIn4 after structural relaxation.

a b c (Å): 6.029 6.029 6.029
angles (deg): 90.00 90.00 90.00
Sites, in units of the cell vectors:
Ce 0.000 0.000 0.000
In 0.000 0.000 0.500
In 0.000 0.500 0.000
In 0.500 0.000 0.000
In 0.500 0.500 0.500

Results
Symmetry ... Pm-3m, No. 221
E_form ... 0.70 eV per atom
V ... 43.8 Å³/atom